Below is LiZrOs after structural relaxation, with properties calculated at the PBE level.

Results
- Energy above the lowest structure with this stoichiometry: 388 meV/atom
- Total magnetic moment: 0.0 μB per cell
- Energy of formation: 366 meV/atom

Lattice parameters (Å, degrees): 4.3692 4.3692 4.3692 60.00 60.00 60.00
With the nearest neighbours (Å) after each atom.
Positions (direct):
1 Li 0.0000 0.0000 0.0000  4 Os 2.68
2 Zr 0.5000 0.5000 0.5000  4 Os 2.68
3 Os 0.2500 0.2500 0.2500  4 Zr 2.68, 4 Li 2.68